The following is a GGA+U calculation of an optimized crystal structure of InCoPbF6, from Alexandria.

Values from the calculation:
- M_tot: 0.27 μB/atom
- V: 150.0 Å³/f.u.
- E: -4.683 eV per atom

a b c (Å): 5.829 5.829 10.191
angles (deg): 90.00 90.00 120.00
Last column: magnetic moment on the atom in μB.
Atoms (fractional coordinates):
F: 0.659 0.029 0.860  -0.01
F: 0.029 0.370 0.140  -0.01
F: 0.971 0.630 0.860  -0.01
F: 0.029 0.659 0.360  -0.01
F: 0.341 0.971 0.140  -0.01
F: 0.971 0.341 0.640  -0.01
F: 0.659 0.630 0.640  -0.01
F: 0.630 0.971 0.360  -0.01
F: 0.370 0.029 0.640  -0.01
F: 0.630 0.659 0.140  -0.01
F: 0.341 0.370 0.360  -0.01
F: 0.370 0.341 0.860  -0.01
Co: 0.667 0.333 0.750  2.77
Co: 0.333 0.667 0.250  2.77
In: 0.667 0.333 0.250  -0.24
In: 0.333 0.667 0.750  -0.24
Pb: 0.000 0.000 0.500  -0.01
Pb: 0.000 0.000 0.000  -0.01